5
Lattice="-0.312 3.755 -1.925 -3.876 0.508 1.620 1.669 1.882 3.402" Properties=species:S:1:pos:R:3 comment="PBE Be3ZnSe, optimized geometry" formation_energy_uncorrected_kcal_per_mol_atoms=19.4 energy_ev_per_atom=-2.346 space_group="Pm-3m, No. 221" n_ef_per_ev_cell=2.0 pbc="T T T"
Be -1.938 0.254 0.810
Be -0.156 1.878 -0.962
Be 0.834 0.941 1.701
Se -1.259 3.073 1.549
Zn 0.000 0.000 0.000